Run P
{
  "formula": "CuSnPC",
  "functional": "GGA-PBE",
  "state": "optimized geometry",
  "cell": [[-0.0661, -2.8811, -0.7721], [3.2658, 0.2579, -1.2419], [2.2026, -1.5182, 5.4769]],
  "species": ["P", "Sn", "Cu", "C"],
  "fractional_positions": [[0.5000, 0.0000, 0.0929], [0.0000, 0.5000, 0.5057], [0.5000, 0.5000, 0.8598], [0.0000, 0.0000, 0.2675]]
}

***

Run Q
{
  "formula": "CuSnPC",
  "functional": "GGA-PBE",
  "state": "optimized geometry",
  "cell": [[-1.0432, 0.4906, -2.7394], [0.5762, -3.4829, -0.8431], [-5.6757, -1.4014, 1.9103]],
  "species": ["P", "Cu", "C", "Sn"],
  "fractional_positions": [[0.5000, 0.0000, 0.2209], [0.0000, 0.5000, 0.9068], [0.0000, 0.0000, 0.0616], [0.5000, 0.5000, 0.5366]]
}

***

Run R
{
  "formula": "CuSnPC",
  "functional": "GGA-PBE",
  "state": "optimized geometry",
  "cell": [[-1.0290, -1.2652, -2.4273], [3.4538, -2.5047, 1.6092], [-4.8858, -1.0123, 2.5894]],
  "species": ["Sn", "C", "P", "Cu"],
  "fractional_positions": [[0.3206, 0.2687, 0.5348], [0.0565, 0.7405, 0.1583], [0.4374, 0.5028, 0.1465], [0.1533, 0.9336, 0.8862]]
}

***

Run S
{
  "formula": "CuSnPC",
  "functional": "GGA-PBE",
  "state": "optimized geometry",
  "cell": [[6.7296, 0.0000, -0.1118], [0.0000, 3.4873, 0.0000], [-1.7310, 0.0000, 5.8127]],
  "species": ["C", "C", "Cu", "Cu", "P", "P", "Sn", "Sn"],
  "fractional_positions": [[0.6825, 0.0000, 0.3849], [0.6825, 0.5000, 0.8849], [0.1179, 0.0000, 0.8621], [0.1179, 0.5000, 0.3621], [0.9507, 0.0000, 0.4749], [0.9507, 0.5000, 0.9749], [0.5230, 0.5000, 0.4987], [0.5230, 0.0000, 0.9987]]
}

***

The relative energies come out as run P 0.0; run Q 13.9; run R 14.6; run S 12.7, with values in kJ/mol of atoms.

***

Run P
{
  "formula": "CuSnPC",
  "functional": "GGA-PBE",
  "state": "optimized geometry",
  "cell": [[-2.3108, -1.1466, 1.5541], [2.8255, -0.4976, 0.9160], [-0.2699, 6.3406, 4.2769]],
  "species": ["C", "P", "Sn", "Cu"],
  "fractional_positions": [[0.0000, 0.0000, 0.3888], [0.6667, 0.3333, 0.2958], [0.0000, 0.0000, 0.7072], [0.6667, 0.3333, 0.0012]]
}

***

Run Q
{
  "formula": "CuSnPC",
  "functional": "GGA-PBE",
  "state": "optimized geometry",
  "cell": [[2.9268, 0.0000, 0.0000], [0.0000, 3.8276, 0.0000], [0.0000, 0.0000, 13.0374]],
  "species": ["P", "P", "Sn", "Sn", "C", "C", "Cu", "Cu"],
  "fractional_positions": [[0.5000, 0.5000, 0.4440], [0.5000, 0.0000, 0.9440], [0.0000, 0.5000, 0.2049], [0.0000, 0.0000, 0.7049], [0.0000, 0.0000, 0.8724], [0.0000, 0.5000, 0.3724], [0.5000, 0.0000, 0.1158], [0.5000, 0.5000, 0.6158]]
}

***

Run R
{
  "formula": "CuSnPC",
  "functional": "GGA-PBE",
  "state": "optimized geometry",
  "cell": [[3.6009, 0.0262, 0.0188], [-0.3705, 3.9659, 0.0164], [-0.5202, -1.6180, 4.5905]],
  "species": ["Sn", "Cu", "P", "C"],
  "fractional_positions": [[0.5343, 0.4239, 0.9729], [0.0748, 0.1143, 0.2576], [0.0658, 0.7055, 0.5159], [0.0510, 0.7303, 0.8768]]
}

***

The relative energies come out as run P 7.7; run Q 0.0; run R 25.2, with values in kJ/mol of atoms.

***

Run P
{
  "formula": "CuSnPC",
  "functional": "GGA-PBE",
  "state": "optimized geometry",
  "cell": [[6.7734, 0.0000, -0.0121], [0.0000, 2.9597, 0.0000], [-6.0141, 0.0000, 6.9502]],
  "species": ["P", "P", "Cu", "Cu", "C", "C", "Sn", "Sn"],
  "fractional_positions": [[0.8635, 0.0000, 0.9009], [0.8635, 0.5000, 0.4009], [0.0736, 0.5000, 0.2850], [0.0736, 0.0000, 0.7850], [0.8301, 0.5000, 0.9923], [0.8301, 0.0000, 0.4923], [0.5069, 0.0000, 0.5101], [0.5069, 0.5000, 0.0101]]
}

***

Run Q
{
  "formula": "CuSnPC",
  "functional": "GGA-PBE",
  "state": "optimized geometry",
  "cell": [[-1.3684, -2.5416, -0.5616], [4.5739, -1.2269, 2.0938], [-3.8947, 1.3600, 3.3971]],
  "species": ["Sn", "Cu", "P", "C"],
  "fractional_positions": [[0.9257, 0.1688, 0.4650], [0.3750, 0.0632, 0.9115], [0.6226, 0.5571, 0.0172], [0.1716, 0.6564, 0.8804]]
}

***

The relative energies come out as run P 0.0; run Q 7.9, with values in kJ/mol of atoms.

***

Run P
{
  "formula": "CuSnPC",
  "functional": "GGA-PBE",
  "state": "optimized geometry",
  "cell": [[-0.8734, -2.6660, -2.1782], [3.3697, -3.3931, -0.0797], [-2.1629, -3.7408, 2.4894]],
  "species": ["C", "P", "Sn", "Cu"],
  "fractional_positions": [[0.8681, 0.0871, 0.7569], [0.6151, 0.3964, 0.9534], [0.5626, 0.9294, 0.5301], [0.9283, 0.6896, 0.0337]]
}

***

Run Q
{
  "formula": "CuSnPC",
  "functional": "GGA-PBE",
  "state": "optimized geometry",
  "cell": [[-2.5594, 1.7623, -1.5523], [2.5678, -1.3665, -1.8987], [-3.3784, -5.4658, -0.6352]],
  "species": ["Cu", "P", "Sn", "C"],
  "fractional_positions": [[0.3333, 0.6667, 0.8794], [0.6667, 0.3333, 0.0505], [0.3333, 0.6667, 0.4791], [0.6667, 0.3333, 0.3170]]
}

***

Run R
{
  "formula": "CuSnPC",
  "functional": "GGA-PBE",
  "state": "optimized geometry",
  "cell": [[8.0412, 0.0000, -0.0375], [0.0000, 3.0084, 0.0000], [-1.1979, 0.0000, 5.0023]],
  "species": ["Cu", "Cu", "C", "C", "Sn", "Sn", "P", "P"],
  "fractional_positions": [[0.0052, 0.5000, 0.2091], [0.0052, 0.0000, 0.7091], [0.3870, 0.5000, 0.6875], [0.3870, 0.0000, 0.1875], [0.7051, 0.0000, 0.2949], [0.7051, 0.5000, 0.7949], [0.2957, 0.0000, 0.8197], [0.2957, 0.5000, 0.3197]]
}

***

Run S
{
  "formula": "CuSnPC",
  "functional": "GGA-PBE",
  "state": "optimized geometry",
  "cell": [[6.2548, 0.0000, 0.0368], [0.0000, 3.6408, 0.0000], [-6.1373, 0.0000, 6.9851]],
  "species": ["C", "C", "Cu", "Cu", "P", "P", "Sn", "Sn"],
  "fractional_positions": [[0.8764, 0.5000, 0.6301], [0.8764, 0.0000, 0.1301], [0.0027, 0.0000, 0.6212], [0.0027, 0.5000, 0.1212], [0.8503, 0.5000, 0.8014], [0.8503, 0.0000, 0.3014], [0.5447, 0.5000, 0.3071], [0.5447, 0.0000, 0.8071]]
}

***

The relative energies come out as run P 11.5; run Q 0.0; run R 0.9; run S 21.6, with values in kJ/mol of atoms.

***

Run P
{
  "formula": "TlCuPC",
  "functional": "GGA-PBE",
  "state": "optimized geometry",
  "cell": [[-1.1784, -0.3781, 5.2601], [-3.7971, -0.6258, -0.8957], [2.2806, -8.9431, -3.4202]],
  "species": ["Tl", "Tl", "Cu", "Cu", "C", "C", "P", "P"],
  "fractional_positions": [[0.3007, 0.5000, 0.6687], [0.3007, 0.0000, 0.1687], [0.3338, 0.5000, 0.9479], [0.3338, 0.0000, 0.4479], [0.0163, 0.0000, 0.4781], [0.0163, 0.5000, 0.9781], [0.7607, 0.5000, 0.0297], [0.7607, 0.0000, 0.5297]]
}

***

Run Q
{
  "formula": "TlCuPC",
  "functional": "GGA-PBE",
  "state": "optimized geometry",
  "cell": [[2.9644, -0.0005, 0.0093], [1.4794, 5.0380, 0.0201], [1.4737, 1.1943, 5.3734]],
  "species": ["P", "Cu", "C", "Tl"],
  "fractional_positions": [[0.0524, 0.6705, 0.5831], [0.8508, 0.1160, 0.5393], [0.6531, 0.4916, 0.5605], [0.5995, 0.1146, 0.0617]]
}

***

Run R
{
  "formula": "TlCuPC",
  "functional": "GGA-PBE",
  "state": "optimized geometry",
  "cell": [[3.4836, -0.0007, -0.0002], [-0.0008, 3.7802, -0.0061], [-0.0087, -1.2381, 5.5462]],
  "species": ["C", "Cu", "P", "Tl"],
  "fractional_positions": [[0.7152, 0.6850, 0.5356], [0.2151, 0.9224, 0.4669], [0.7150, 0.2536, 0.3559], [0.2177, 0.5906, 0.8972]]
}

***

The relative energies come out as run P 32.9; run Q 0.0; run R 19.4, with values in kJ/mol of atoms.

***

Run P
{
  "formula": "PaCuC",
  "functional": "GGA-PBE",
  "state": "optimized geometry",
  "cell": [[-1.7289, -0.4389, 3.4008], [-2.9952, -1.0565, -1.6590], [2.4720, -2.4157, 0.9450]],
  "species": ["Pa", "Cu", "C"],
  "fractional_positions": [[0.3340, 0.6667, 0.3333], [0.8340, 0.3333, 0.6667], [0.8320, 0.0000, 0.0000]]
}

***

Run Q
{
  "formula": "PaCuC",
  "functional": "GGA-PBE",
  "state": "optimized geometry",
  "cell": [[3.3304, 0.0000, 0.0000], [0.0000, 3.3304, 0.0000], [-1.6652, -1.6652, 4.7842]],
  "species": ["Pa", "Cu", "C"],
  "fractional_positions": [[0.6151, 0.6151, 0.2303], [0.3114, 0.3114, 0.6228], [0.0735, 0.0735, 0.1469]]
}

***

The relative energies come out as run P 0.0; run Q 21.1, with values in kJ/mol of atoms.

***

Run P
{
  "formula": "CuPb3C",
  "functional": "GGA-PBE",
  "state": "optimized geometry",
  "cell": [[-4.9111, -0.6187, 0.5794], [-0.1068, -2.9278, -4.0316], [0.8409, -3.9853, 2.8719]],
  "species": ["Pb", "Pb", "Pb", "C", "Cu"],
  "fractional_positions": [[0.0000, 0.5000, 0.0000], [0.5000, 0.0000, 0.0000], [0.0000, 0.0000, 0.5000], [0.0000, 0.0000, 0.0000], [0.5000, 0.5000, 0.5000]]
}

***

Run Q
{
  "formula": "CuPb3C",
  "functional": "GGA-PBE",
  "state": "optimized geometry",
  "cell": [[5.1356, 0.0000, 0.0000], [0.0000, 5.1356, 0.0000], [0.0000, 0.0000, 5.1356]],
  "species": ["Cu", "Pb", "Pb", "Pb", "C"],
  "fractional_positions": [[0.0000, 0.0000, 0.0000], [0.5000, 0.0000, 0.0000], [0.0000, 0.0000, 0.5000], [0.0000, 0.5000, 0.0000], [0.5000, 0.5000, 0.5000]]
}

***

The relative energies come out as run P 0.0; run Q 37.9, with values in kJ/mol of atoms.

***

Run P
{
  "formula": "Cu3PdC",
  "functional": "GGA-PBE",
  "state": "optimized geometry",
  "cell": [[4.6383, 0.0000, 0.0000], [0.0000, 4.6383, 0.0000], [0.0000, 0.0000, 4.6383]],
  "species": ["Pd", "C", "Cu", "Cu", "Cu"],
  "fractional_positions": [[0.0000, 0.0000, 0.0000], [0.5000, 0.5000, 0.5000], [0.0000, 0.0000, 0.5000], [0.5000, 0.0000, 0.0000], [0.0000, 0.5000, 0.0000]]
}

***

Run Q
{
  "formula": "Cu3PdC",
  "functional": "GGA-PBE",
  "state": "optimized geometry",
  "cell": [[-0.2156, -3.5380, -1.5876], [0.0651, -1.5931, 3.5415], [-3.8774, 0.1700, 0.1477]],
  "species": ["Cu", "Cu", "Cu", "C", "Pd"],
  "fractional_positions": [[0.0000, 0.5000, 0.0000], [0.5000, 0.0000, 0.0000], [0.0000, 0.0000, 0.5000], [0.0000, 0.0000, 0.0000], [0.5000, 0.5000, 0.5000]]
}

***

The relative energies come out as run P 184.9; run Q 0.0, with values in kJ/mol of atoms.

***

Run P
{
  "formula": "CuPdC3",
  "functional": "GGA-PBE",
  "state": "optimized geometry",
  "cell": [[-3.5475, -0.8022, -1.1587], [0.6440, -3.7143, 0.5999], [-1.2535, 0.3621, 3.5873]],
  "species": ["Cu", "C", "C", "C", "Pd"],
  "fractional_positions": [[0.0000, 0.0000, 0.0000], [0.0000, 0.0000, 0.5000], [0.5000, 0.0000, 0.0000], [0.0000, 0.5000, 0.0000], [0.5000, 0.5000, 0.5000]]
}

***

Run Q
{
  "formula": "CuPdC3",
  "functional": "GGA-PBE",
  "state": "optimized geometry",
  "cell": [[4.0208, 0.0000, 0.0000], [0.0000, 4.0208, 0.0000], [0.0000, 0.0000, 4.0208]],
  "species": ["Cu", "C", "C", "C", "Pd"],
  "fractional_positions": [[0.5000, 0.5000, 0.5000], [0.5000, 0.0000, 0.0000], [0.0000, 0.5000, 0.0000], [0.0000, 0.0000, 0.5000], [0.0000, 0.0000, 0.0000]]
}

***

The relative energies come out as run P 0.0; run Q 21.2, with values in kJ/mol of atoms.

***

Run P
{
  "formula": "Cu3PtC",
  "functional": "GGA-PBE",
  "state": "optimized geometry",
  "cell": [[-3.5748, -0.3607, 1.4788], [-1.1772, -1.7379, -3.2695], [0.9650, -3.4562, 1.4897]],
  "species": ["Pt", "C", "Cu", "Cu", "Cu"],
  "fractional_positions": [[0.5000, 0.5000, 0.5000], [0.0000, 0.0000, 0.0000], [0.0000, 0.5000, 0.0000], [0.5000, 0.0000, 0.0000], [0.0000, 0.0000, 0.5000]]
}

***

Run Q
{
  "formula": "Cu3PtC",
  "functional": "GGA-PBE",
  "state": "optimized geometry",
  "cell": [[4.6799, 0.0000, 0.0000], [0.0000, 4.6799, 0.0000], [0.0000, 0.0000, 4.6799]],
  "species": ["Cu", "Cu", "Cu", "Pt", "C"],
  "fractional_positions": [[0.0000, 0.0000, 0.5000], [0.5000, 0.0000, 0.0000], [0.0000, 0.5000, 0.0000], [0.0000, 0.0000, 0.0000], [0.5000, 0.5000, 0.5000]]
}

***

The relative energies come out as run P 0.0; run Q 172.7, with values in kJ/mol of atoms.

***

Run P
{
  "formula": "CuPt3C",
  "functional": "GGA-PBE",
  "state": "optimized geometry",
  "cell": [[-1.4913, -3.3457, 2.6969], [3.5065, -2.5977, -1.2835], [2.4842, 1.6582, 3.4308]],
  "species": ["Pt", "Pt", "Pt", "C", "Cu"],
  "fractional_positions": [[0.0000, 0.0000, 0.5000], [0.5000, 0.0000, 0.0000], [0.0000, 0.5000, 0.0000], [0.5000, 0.5000, 0.5000], [0.0000, 0.0000, 0.0000]]
}

***

Run Q
{
  "formula": "CuPt3C",
  "functional": "GGA-PBE",
  "state": "optimized geometry",
  "cell": [[4.1392, 0.0000, 0.0000], [0.0000, 4.1392, 0.0000], [0.0000, 0.0000, 4.1392]],
  "species": ["Pt", "Pt", "Pt", "Cu", "C"],
  "fractional_positions": [[0.0000, 0.5000, 0.0000], [0.0000, 0.0000, 0.5000], [0.5000, 0.0000, 0.0000], [0.5000, 0.5000, 0.5000], [0.0000, 0.0000, 0.0000]]
}

***

The relative energies come out as run P 191.5; run Q 0.0, with values in kJ/mol of atoms.